Record 1
Here is an optimized crystal structure of KSiNi2 from Alexandria via LeMat-Bulk. Energies are from PBE.

**Space group**: I4_1/amd (141)
**Size of the total moment**: 0.0 μB per cell
**Raw formation energy**: 0.9 eV per formula unit

Cell and atoms, written as extended XYZ:
```
8
Lattice="4.937 0.000 0.000 0.000 4.937 0.000 2.468 2.468 7.445" Properties=species:S:1:pos:R:3 pbc="T T T"
Ni 3.702 4.937 5.584
Ni 2.469 3.702 1.861
K 0.000 0.000 0.000
Si 2.468 4.937 3.723
Si 2.468 2.468 0.000
Ni 6.171 4.936 5.584
Ni 2.468 1.234 1.861
K 4.937 2.468 3.723
```



Record 2
Here is an optimized crystal structure of Nd2ZnSiPt6 from Alexandria via LeMat-Bulk. Energies are from PBE.

**Space group**: Fm-3m (225)
**Size of the total moment**: 0.0 μB per cell
**Raw formation energy**: -5.5 eV per formula unit

Cell and atoms, written as extended XYZ:
```
10
Lattice="6.611 0.000 0.000 0.000 6.611 0.000 3.306 3.305 4.675" Properties=species:S:1:pos:R:3 pbc="T T T"
Pt 5.002 1.609 0.000
Si 0.000 0.000 0.000
Pt 5.002 5.001 0.000
Nd 3.306 6.611 2.337
Pt 1.610 1.610 0.000
Pt 6.611 6.611 2.276
Zn 3.306 3.305 0.000
Pt 3.306 3.305 2.398
Pt 1.610 5.001 0.000
Nd 6.611 3.305 2.337
```



Record 3
Here is an optimized crystal structure of CaSmGaCu from Alexandria via LeMat-Bulk. Energies are from PBE.

**Formation energy**: -0.328 eV/atom
**Space group**: F-43m (216)
**Size of the total moment**: 0.0 μB per cell

Cell and atoms, written as extended XYZ:
```
4
Lattice="-3.815 -0.271 3.367 -0.690 -4.245 2.732 1.006 -0.007 4.995" Properties=species:S:1:pos:R:3 pbc="T T T"
Ca -1.750 -2.262 5.547
Sm 0.000 0.000 0.000
Cu -0.875 -1.131 2.773
Ga -2.624 -3.393 8.320
```



Record 4
Here is an optimized crystal structure of CeHoCu from Alexandria via LeMat-Bulk. Energies are from PBE.

**Formation energy**: 0.129 eV/atom
**Space group**: P3m1 (156)
**Size of the total moment**: 0.8 μB per cell
**Energy relative to the lowest polymorph listed for this composition**: 0.207 eV per atom

Cell and atoms, written as extended XYZ:
```
3
Lattice="-0.742 1.973 -2.865 -4.339 -2.042 -0.283 0.609 3.997 2.595" Properties=species:S:1:pos:R:3 pbc="T T T"
Cu -0.717 1.907 -2.769
Ho -3.229 1.405 -1.407
Ce -1.268 2.589 0.757
```



Record 5
Here is an optimized crystal structure of TbPm3Hg2 from Alexandria via LeMat-Bulk. Energies are from PBE.

**Formation energy**: -0.337 eV/atom
**Space group**: Pmc2_1 (26)
**Size of the total moment**: 0.0 μB per cell
**Energy relative to the lowest polymorph listed for this composition**: 0.000 eV per atom

Cell and atoms, written as extended XYZ:
```
12
Lattice="5.251 0.000 0.000 0.000 7.106 0.000 0.000 0.000 9.512" Properties=species:S:1:pos:R:3 pbc="T T T"
Pm 0.000 3.459 8.997
Tb 2.625 3.650 5.269
Pm 0.000 2.304 3.128
Hg 2.625 1.650 1.443
Hg 2.625 5.203 8.069
Pm 0.000 7.013 0.514
Pm 2.625 4.793 1.669
Hg 0.000 1.910 6.176
Pm 0.000 5.857 6.384
Hg 0.000 5.463 3.336
Tb 2.625 0.097 4.242
Pm 2.625 1.240 7.842
```



Record 6
Here is an optimized crystal structure of VNiBi from Alexandria via LeMat-Bulk. Energies are from PBE.

**Formation energy**: 0.396 eV/atom
**Space group**: P-6m2 (187)
**Size of the total moment**: 0.0 μB per cell

Cell and atoms, written as extended XYZ:
```
6
Lattice="3.946 0.000 0.000 -1.973 3.419 0.000 0.000 0.000 8.764" Properties=species:S:1:pos:R:3 pbc="T T T"
Bi 1.973 0.759 5.974
Bi 1.973 0.759 2.790
Ni 1.973 0.760 0.000
Ni 0.000 1.900 4.382
V 0.000 1.900 7.771
V 0.000 1.900 0.992
```



Record 7
Here is an optimized crystal structure of YZr2Se from Alexandria via LeMat-Bulk. Energies are from PBE.

**Space group**: I-42d (122)
**Size of the total moment**: 0.0 μB per cell
**Raw formation energy**: -1.4 eV per formula unit

Cell and atoms, written as extended XYZ:
```
8
Lattice="-1.160 -1.586 -8.184 -5.357 -6.189 1.959 -5.414 -2.039 -3.165" Properties=species:S:1:pos:R:3 pbc="T T T"
Zr -2.664 -2.160 -5.068
Se -7.015 -6.057 -2.159
Se -3.259 -3.887 -3.112
Zr -6.893 -4.893 -4.566
Y -4.916 -3.756 -7.231
Zr -4.931 -4.691 -1.183
Zr -9.375 -7.883 -7.963
Y 0.000 0.000 0.000
```



Record 8
Here is an optimized crystal structure of POsCS from Alexandria via LeMat-Bulk. Energies are from PBE.

**Space group**: P1 (1)
**Size of the total moment**: 0.0 μB per cell
**Raw formation energy**: 2.3 eV per formula unit
**Energy relative to the lowest polymorph listed for this composition**: 0.259 eV per atom

Cell and atoms, written as extended XYZ:
```
4
Lattice="2.836 -0.002 -0.004 -1.408 3.982 -0.001 -1.404 -0.598 4.690" Properties=species:S:1:pos:R:3 pbc="T T T"
Os 0.043 1.389 2.779
S 0.040 -0.119 4.510
C 0.048 2.659 4.440
P -1.376 2.927 1.700
```



Record 9
Here is an optimized crystal structure of Co2RuCl from Alexandria via LeMat-Bulk. Energies are from PBE.

**Space group**: Pmmm (47)
**Size of the total moment**: 4.7 μB per cell
**Raw formation energy**: 2.9 eV per formula unit
**Energy relative to the lowest polymorph listed for this composition**: 0.368 eV per atom

Cell and atoms, written as extended XYZ:
```
4
Lattice="2.814 0.000 0.000 0.000 4.302 0.000 0.000 0.000 4.360" Properties=species:S:1:pos:R:3 pbc="T T T"
Co 1.407 2.151 0.000
Co 0.000 0.000 0.000
Ru 1.407 0.000 2.180
Cl 0.000 2.151 2.180
```



Record 10
Here is an optimized crystal structure of Li2YZr from Alexandria via LeMat-Bulk. Energies are from PBE.

**Formation energy**: 0.343 eV/atom
**Space group**: P4/mmm (123)
**Size of the total moment**: 0.0 μB per cell
**Energy relative to the lowest polymorph listed for this composition**: 0.205 eV per atom

Cell and atoms, written as extended XYZ:
```
4
Lattice="4.647 0.000 0.000 0.000 4.416 0.000 0.000 0.000 4.416" Properties=species:S:1:pos:R:3 pbc="T T T"
Zr 2.323 0.000 2.208
Y 2.323 2.208 0.000
Li 0.000 2.208 2.208
Li 0.000 0.000 0.000
```



Record 11
Here is an optimized crystal structure of Sr3Hf2TiO9 from Alexandria via LeMat-Bulk. Energies are from PBE.

**Space group**: P-3m1 (164)
**Size of the total moment**: 0.0 μB per cell
**Raw formation energy**: -49.2 eV per formula unit

Cell and atoms, written as extended XYZ:
```
15
Lattice="5.759 0.000 0.000 -2.879 4.987 0.000 0.000 0.000 7.063" Properties=species:S:1:pos:R:3 pbc="T T T"
Sr 2.879 1.662 2.389
O 4.355 0.810 4.665
O 0.000 1.621 2.397
O 2.879 0.000 0.000
Hf 0.000 3.325 1.212
O 2.879 3.366 4.665
O -1.440 2.494 0.000
Ti 0.000 0.000 3.531
O 1.476 4.177 2.397
Sr 0.000 0.000 0.000
O 1.440 2.494 0.000
O 1.404 0.810 4.665
Hf 2.879 1.662 5.851
O -1.476 4.177 2.397
Sr 0.000 3.325 4.674
```



Record 12
Here is an optimized crystal structure of CdTe2H2 from Alexandria via LeMat-Bulk. Energies are from PBE.

**Space group**: P4/mbm (127)
**Size of the total moment**: 0.0 μB per cell
**Energy relative to the lowest polymorph listed for this composition**: 0.000 eV per atom

Cell and atoms, written as extended XYZ:
```
10
Lattice="8.322 0.000 0.000 0.000 8.322 0.000 0.000 0.000 3.665" Properties=species:S:1:pos:R:3 pbc="T T T"
H 2.091 6.252 1.833
H 2.070 2.091 1.833
Cd 4.161 4.161 0.000
Te 2.574 6.735 0.000
Te 6.735 5.748 0.000
H 6.252 6.231 1.833
H 6.231 2.070 1.833
Te 5.748 1.587 0.000
Te 1.587 2.574 0.000
Cd 0.000 0.000 0.000
```



Record 13
Here is an optimized crystal structure of Pu3ScTl4 from Alexandria via LeMat-Bulk. Energies are from PBE.

**Formation energy**: -0.090 eV/atom
**Space group**: P4/mmm (123)
**Size of the total moment**: 5.4 μB per cell

Cell and atoms, written as extended XYZ:
```
8
Lattice="3.302 0.000 0.000 0.000 3.302 0.000 0.000 0.000 18.985" Properties=species:S:1:pos:R:3 pbc="T T T"
Tl 0.000 0.000 7.041
Pu 1.651 1.651 9.492
Tl 0.000 0.000 2.156
Tl 0.000 0.000 16.829
Sc 1.651 1.651 0.000
Tl 0.000 0.000 11.944
Pu 1.651 1.651 4.591
Pu 1.651 1.651 14.394
```



Record 14
Here is an optimized crystal structure of NbSiOs2 from Alexandria via LeMat-Bulk. Energies are from PBE.

**Space group**: I-42d (122)
**Size of the total moment**: 0.0 μB per cell
**Raw formation energy**: 3.7 eV per formula unit

Cell and atoms, written as extended XYZ:
```
8
Lattice="-2.050 -3.589 3.635 4.277 -3.347 -0.893 4.020 -0.875 5.571" Properties=species:S:1:pos:R:3 pbc="T T T"
Nb 1.542 -3.966 5.288
Os 4.829 -6.620 6.606
Si 4.705 -3.845 3.025
Si 1.113 -3.468 1.371
Os 0.323 -2.767 3.439
Os 3.984 -3.362 5.179
Os 3.357 -2.872 1.403
Nb 0.000 0.000 0.000
```



Record 15
Here is an optimized crystal structure of Pd2RuN2 from Alexandria via LeMat-Bulk. Energies are from PBE.

**Space group**: I4/mmm (139)
**Size of the total moment**: 1.2 μB per cell
**Raw formation energy**: 7.2 eV per formula unit
**Energy relative to the lowest polymorph listed for this composition**: 0.000 eV per atom

Cell and atoms, written as extended XYZ:
```
5
Lattice="-3.186 -0.988 -0.148 0.691 -2.537 2.058 -2.461 1.490 5.372" Properties=species:S:1:pos:R:3 pbc="T T T"
N -3.447 -0.630 3.090
Ru 0.000 0.000 0.000
Pd -3.387 -1.133 5.159
Pd -1.568 -0.902 2.123
N -1.508 -1.405 4.192
```



Record 16
Here is an optimized crystal structure of NaLaPAu from Alexandria via LeMat-Bulk. Energies are from PBE.

**Formation energy**: -0.769 eV/atom
**Space group**: F-43m (216)
**Size of the total moment**: 0.0 μB per cell

Cell and atoms, written as extended XYZ:
```
4
Lattice="-3.008 -2.707 -3.095 2.057 -3.072 -3.505 -0.321 -5.056 0.541" Properties=species:S:1:pos:R:3 pbc="T T T"
Au 0.000 0.000 0.000
P -0.636 -5.418 -3.030
Na -0.953 -8.126 -4.545
La -0.318 -2.709 -1.515
```



Record 17
Here is an optimized crystal structure of KP2Os from Alexandria via LeMat-Bulk. Energies are from PBE.

**Formation energy**: 0.502 eV/atom
**Space group**: R3m (160)
**Size of the total moment**: 0.0 μB per cell
**Energy relative to the lowest polymorph listed for this composition**: 0.663 eV per atom

Cell and atoms, written as extended XYZ:
```
4
Lattice="8.891 -0.006 -0.003 8.356 3.039 -0.003 8.356 1.469 2.660" Properties=species:S:1:pos:R:3 pbc="T T T"
Os 7.032 1.237 0.729
K 12.728 2.238 1.319
P 0.033 0.006 0.003
P 18.611 3.273 1.928
```



Record 18
Here is an optimized crystal structure of Rb2BiIr from Alexandria via LeMat-Bulk. Energies are from PBE.

**Formation energy**: 0.242 eV/atom
**Space group**: I-42d (122)
**Size of the total moment**: 0.0 μB per cell

Cell and atoms, written as extended XYZ:
```
8
Lattice="-10.520 7.550 -0.160 -7.544 -10.519 -0.381 -9.101 -1.527 2.284" Properties=species:S:1:pos:R:3 pbc="T T T"
Ir -9.032 -1.484 -0.270
Bi 0.000 0.000 0.000
Ir -12.838 -6.765 0.816
Rb -10.317 -4.568 0.282
Rb -21.188 -1.731 1.313
Bi -14.326 2.269 0.927
Rb -7.781 1.578 0.454
Rb -15.043 -4.271 1.437
```



Record 19
Here is an optimized crystal structure of LiRhSe2 from Alexandria via LeMat-Bulk. Energies are from PBE.

**Space group**: I-4m2 (119)
**Size of the total moment**: 0.0 μB per cell
**Raw formation energy**: -0.8 eV per formula unit

Cell and atoms, written as extended XYZ:
```
4
Lattice="5.367 0.008 0.000 2.723 4.625 0.000 -4.045 -2.317 2.660" Properties=species:S:1:pos:R:3 pbc="T T T"
Li 4.045 2.317 0.000
Se 1.362 2.312 1.330
Se 0.000 0.000 0.000
Rh 2.684 0.004 1.330
```



Record 20
Here is an optimized crystal structure of BeIr2W from Alexandria via LeMat-Bulk. Energies are from PBE.

**Formation energy**: -0.021 eV/atom
**Space group**: P4/mmm (123)
**Size of the total moment**: 0.0 μB per cell

Cell and atoms, written as extended XYZ:
```
4
Lattice="-2.240 -0.295 -2.748 -1.560 -3.256 1.621 -2.650 2.226 1.920" Properties=species:S:1:pos:R:3 pbc="T T T"
Ir -2.105 -0.515 1.771
Ir 0.000 0.000 0.000
W -1.900 -1.776 -0.564
Be -2.445 0.965 -0.414
```